Entry 1:
Material: Tb6PmY3
Method: DFT, PBE-GGA
State: optimized geometry

Output
calculated formation energy: 0.2783 eV/atom
polymorph energy (0 for the lowest one): 136.9 meV per atom
DFT total energy: -4.914 eV per atom

POSCAR file:
```
Tb6PmY3
1.0
4.935 2.849 3.915
-4.935 2.849 3.915
0.000 -5.699 3.915
Tb Pm Y
6 1 3
Cartesian
-3.263 0.011 3.915 Tb
-1.686 -2.839 5.876 Tb
1.622 -2.832 3.915 Tb
-1.616 2.880 5.876 Tb
1.641 2.820 3.915 Tb
3.302 -0.041 5.876 Tb
0.000 0.000 9.809 Pm
0.000 0.000 1.047 Y
0.000 0.000 3.945 Y
0.000 0.000 6.874 Y
```

---

Entry 2:
Material: ReTeF
Method: DFT, PBE-GGA
State: optimized geometry

Output
polymorph energy (0 for the lowest one): 136.5 meV per atom
DFT total energy: -6.113 eV per atom
ΔE_f (raw): -0.293 eV per atom

POSCAR file:
```
ReTeF
1.0
3.290 0.000 0.000
0.000 1.542 6.072
0.000 -1.542 6.072
Re Te F
1 1 1
Cartesian
0.000 0.000 0.000 Re
1.645 0.000 7.601 Te
0.000 0.000 4.595 F
```

---

Entry 3:
Material: Ca2YRh
Method: DFT, PBE-GGA
State: optimized geometry

Output
calculated formation energy: -0.2654 eV/atom
polymorph energy (0 for the lowest one): 79.2 meV per atom
DFT total energy: -4.720 eV per atom

POSCAR file:
```
Ca2YRh
1.0
3.403 -5.505 0.000
3.403 5.505 0.000
-2.014 0.000 3.113
Ca Y Rh
2 1 1
Cartesian
0.000 0.000 0.000 Ca
2.396 -2.063 1.556 Ca
2.396 2.054 1.556 Y
3.403 0.141 0.000 Rh
```